1.
Crystalline DyNp2Se5 at its relaxed geometry. Source: Alexandria, functional PBE.

Results
uncorrected formation energy	-0.572	eV/atom
VASP energy	-6.56	eV per atom
M_tot	8.25	μB per formula unit

```
8
Lattice="-2.7191 -3.9521 -1.3137 2.3427 0.5245 -6.4270 5.2454 -4.1324 1.5747" Properties=species:S:1:pos:R:3 pbc="T T T"
Dy 0.0000 0.0000 0.0000
Np -0.1882 -1.7138 -3.8704
Np 1.2631 -4.0422 0.1305
Se 5.4441 -2.5885 -3.4813
Se 4.4252 -2.8166 -0.6861
Se 3.1628 -0.7912 -4.1662
Se -1.3596 -1.9760 -0.6568
Se 2.1440 -1.0194 -1.3710
```



2.
Crystalline DyNpSe4 at its relaxed geometry. Source: Alexandria, functional PBE.

Results
uncorrected formation energy	-1.178	eV/atom
VASP energy	-6.43	eV per atom
M_tot	2.03	μB per formula unit

```
6
Lattice="-0.7196 -1.9941 -3.6702 6.3152 0.8378 -1.6933 1.4333 -5.7672 2.8524" Properties=species:S:1:pos:R:3 pbc="T T T"
Dy -0.3598 -0.9970 -1.8351
Np 3.8742 -2.4647 0.5795
Se 1.5859 -1.0089 0.2372
Se 6.1626 -3.9204 0.9219
Se 4.4497 -2.1963 -2.1264
Se 2.5791 -4.7271 -0.3846
```



3.
Crystalline SmDyNp2Se4 at its relaxed geometry. Source: Alexandria, functional PBE.

Results
uncorrected formation energy	-1.436	eV/atom
VASP energy	-7.58	eV per atom
M_tot	9.04	μB per formula unit

```
8
Lattice="-2.7291 -1.7766 -2.5042 4.9203 -4.7571 -1.9873 -3.5558 -2.4937 5.6442" Properties=species:S:1:pos:R:3 pbc="T T T"
Sm 0.0000 0.0000 0.0000
Dy 1.0956 -3.2668 -2.2457
Np -3.1424 -2.1351 1.5700
Np 0.6823 -3.6254 1.8285
Se -1.0113 -2.7304 -0.3302
Se -0.3533 -6.2969 1.4830
Se -1.4181 -3.0782 3.7293
Se 2.7826 -4.1726 -0.0723
```



4.
Crystalline Dy3NpTl4Se8 at its relaxed geometry. Source: Alexandria, functional PBE.

Results
uncorrected formation energy	-1.258	eV/atom
VASP energy	-5.26	eV per atom
M_tot	4.00	μB per formula unit

```
16
Lattice="-1.8357 7.0756 4.1394 -3.3235 -4.9329 6.9582 7.9059 -1.5384 -2.3885" Properties=species:S:1:pos:R:3 pbc="T T T"
Dy -2.5796 1.0714 5.5488
Dy 1.3734 0.3022 4.3545
Dy 2.2912 -3.2356 2.2849
Np -1.6617 -2.4664 3.4791
Tl -0.9178 3.5378 2.0697
Tl 3.0351 2.7686 0.8755
Tl 0.0000 0.0000 0.0000
Tl 3.9529 -0.7692 -1.1942
Se 4.8792 -3.2917 3.5692
Se 0.9645 -2.5299 4.7522
Se 2.7238 -0.4000 1.8916
Se 3.9701 0.2123 5.6190
Se -1.2234 0.3921 3.0900
Se 0.0229 1.0043 6.8175
Se 1.7822 3.1343 3.9569
Se -2.1325 3.8961 5.1399
```